This record from Alexandria describes an optimized crystal structure of Cs2CeNpO6. The functional is PBE.

a = 6.3344 Å, b = 6.3351 Å, c = 8.8437 Å
α = 90.00°, β = 90.00°, γ = 90.00°
Sites, in units of the cell vectors:
O 0.7265 0.0233 0.5000
O 0.2736 0.4762 0.5000
O 0.2265 0.9767 0.0000
O 0.5000 0.2499 0.2386
O 0.5000 0.2499 0.7614
O 0.2735 0.0233 0.5000
O 0.2264 0.5238 0.0000
O 0.0000 0.7501 0.7386
O 0.7736 0.5238 0.0000
O 0.7264 0.4762 0.5000
O 0.0000 0.7501 0.2614
O 0.7735 0.9767 0.0000
Np 0.0000 0.7502 0.0000
Np 0.5000 0.2498 0.5000
Cs 0.0000 0.2502 0.2500
Cs 0.0000 0.2502 0.7500
Cs 0.5000 0.7498 0.2500
Cs 0.5000 0.7498 0.7500
Ce 0.0000 0.7501 0.5000
Ce 0.5000 0.2499 0.0000

crystal system = tetragonal
DOS at the Fermi energy = 1.78 states/eV/f.u.
total DFT energy (no corrections) = -7.693 eV per atom